# PBE CoNiH, optimized geometry
data_CoNiH
_space_group_name_H-M_alt 'P 1'
_space_group_IT_number 1
_cell_length_a 2.560
_cell_length_b 2.560
_cell_length_c 4.196
_cell_angle_alpha 90.00
_cell_angle_beta 90.00
_cell_angle_gamma 120.00
loop_
_space_group_symop_operation_xyz
'x,y,z'
loop_
_atom_site_label
_atom_site_fract_x
_atom_site_fract_y
_atom_site_fract_z
Co1 0.000 0.000 0.000
Ni1 0.333 0.667 0.521
H1 0.667 0.333 0.265
# Space-group type   P3m1, No. 156
# M_tot   1.97 μB per formula unit
# Total energy   -5.39 eV/atom

---

# PBE Tm2Ga3CuNi4, optimized geometry
data_Tm2Ga3CuNi4
_space_group_name_H-M_alt 'P 1'
_space_group_IT_number 1
_cell_length_a 3.774
_cell_length_b 3.774
_cell_length_c 11.013
_cell_angle_alpha 90.00
_cell_angle_beta 90.00
_cell_angle_gamma 90.00
loop_
_space_group_symop_operation_xyz
'x,y,z'
loop_
_atom_site_label
_atom_site_fract_x
_atom_site_fract_y
_atom_site_fract_z
Tm1 0.000 0.500 0.236
Tm2 0.500 0.000 0.764
Ga1 0.000 0.000 0.000
Ga2 0.000 0.500 0.634
Ga3 0.500 0.000 0.366
Cu1 0.500 0.500 0.000
Ni1 0.000 0.000 0.500
Ni2 0.000 0.500 0.851
Ni3 0.500 0.000 0.149
Ni4 0.500 0.500 0.500
# Space-group type   P-4m2, No. 115
# M_tot   0.00 μB per formula unit
# Total energy   -5.02 eV/atom
# DFT formation energy   -0.492 eV per atom

---

# PBE Na3IrPd2O6, optimized geometry
data_Na3IrPd2O6
_space_group_name_H-M_alt 'P 1'
_space_group_IT_number 1
_cell_length_a 5.545
_cell_length_b 5.545
_cell_length_c 5.651
_cell_angle_alpha 102.38
_cell_angle_beta 102.38
_cell_angle_gamma 115.22
loop_
_space_group_symop_operation_xyz
'x,y,z'
loop_
_atom_site_label
_atom_site_fract_x
_atom_site_fract_y
_atom_site_fract_z
Na1 0.000 0.000 0.000
Na2 0.329 0.671 0.000
Na3 0.671 0.329 0.000
Ir1 0.500 0.500 0.500
Pd1 0.167 0.833 0.500
Pd2 0.833 0.167 0.500
O1 0.126 0.454 0.286
O2 0.254 0.254 0.681
O3 0.454 0.126 0.286
O4 0.546 0.874 0.714
O5 0.746 0.746 0.319
O6 0.874 0.546 0.714
# Space-group type   C2/m, No. 12
# M_tot   1.43 μB per formula unit
# Total energy   -5.30 eV/atom
# Uncorrected formation energy   -10.67 eV/f.u.

---

# PBE Rb2CrTeSe4, optimized geometry
data_Rb2CrTeSe4
_space_group_name_H-M_alt 'P 1'
_space_group_IT_number 1
_cell_length_a 8.231
_cell_length_b 8.231
_cell_length_c 7.671
_cell_angle_alpha 103.04
_cell_angle_beta 103.04
_cell_angle_gamma 87.81
loop_
_space_group_symop_operation_xyz
'x,y,z'
loop_
_atom_site_label
_atom_site_fract_x
_atom_site_fract_y
_atom_site_fract_z
Rb1 0.000 0.000 0.000
Rb2 0.000 0.000 0.500
Rb3 0.000 0.500 0.000
Rb4 0.500 0.000 0.500
Cr1 0.500 0.500 0.000
Cr2 0.500 0.500 0.500
Te1 0.000 0.500 0.500
Te2 0.500 0.000 0.000
Se1 0.249 0.677 0.394
Se2 0.312 0.375 0.672
Se3 0.323 0.751 0.106
Se4 0.375 0.312 0.172
Se5 0.625 0.688 0.828
Se6 0.677 0.249 0.894
Se7 0.688 0.625 0.328
Se8 0.751 0.323 0.606
# Space-group type   C2/c, No. 15
# M_tot   2.82 μB per formula unit
# Total energy   -4.13 eV/atom
# Uncorrected formation energy   -4.44 eV/f.u.

---

# PBE AcZn4Hg, optimized geometry
data_AcZn4Hg
_space_group_name_H-M_alt 'P 1'
_space_group_IT_number 1
_cell_length_a 5.682
_cell_length_b 5.682
_cell_length_c 5.682
_cell_angle_alpha 60.00
_cell_angle_beta 60.00
_cell_angle_gamma 60.00
loop_
_space_group_symop_operation_xyz
'x,y,z'
loop_
_atom_site_label
_atom_site_fract_x
_atom_site_fract_y
_atom_site_fract_z
Ac1 0.000 0.000 0.000
Zn1 0.376 0.376 0.376
Zn2 0.376 0.376 0.872
Zn3 0.376 0.872 0.376
Zn4 0.872 0.376 0.376
Hg1 0.750 0.750 0.750
# Space-group type   F-43m, No. 216
# M_tot   0.00 μB per formula unit
# Total energy   -1.71 eV/atom
# DFT formation energy   -0.127 eV per atom

---

# PBE KLiNiC2, optimized geometry
data_KLiNiC2
_space_group_name_H-M_alt 'P 1'
_space_group_IT_number 1
_cell_length_a 3.847
_cell_length_b 3.847
_cell_length_c 5.067
_cell_angle_alpha 90.00
_cell_angle_beta 90.00
_cell_angle_gamma 90.00
loop_
_space_group_symop_operation_xyz
'x,y,z'
loop_
_atom_site_label
_atom_site_fract_x
_atom_site_fract_y
_atom_site_fract_z
K1 0.000 0.000 0.000
Li1 0.500 0.500 0.000
Ni1 0.000 0.000 0.500
C1 0.000 0.500 0.500
C2 0.500 0.000 0.500
# Space-group type   P4/mmm, No. 123
# M_tot   1.93 μB per formula unit
# ΔE to the lowest computed polymorph   0 meV/atom
# Total energy   -3.86 eV/atom
# DFT formation energy   1.584 eV per atom

---

> The highest M_tot belongs to which entry?

Rb2CrTeSe4

---

Please write out number 1 again, unchanged.
# PBE CoNiH, optimized geometry
data_CoNiH
_space_group_name_H-M_alt 'P 1'
_space_group_IT_number 1
_cell_length_a 2.560
_cell_length_b 2.560
_cell_length_c 4.196
_cell_angle_alpha 90.00
_cell_angle_beta 90.00
_cell_angle_gamma 120.00
loop_
_space_group_symop_operation_xyz
'x,y,z'
loop_
_atom_site_label
_atom_site_fract_x
_atom_site_fract_y
_atom_site_fract_z
Co1 0.000 0.000 0.000
Ni1 0.333 0.667 0.521
H1 0.667 0.333 0.265
# Space-group type   P3m1, No. 156
# M_tot   1.97 μB per formula unit
# Total energy   -5.39 eV/atom

---

> Look up the total energy of the first one.

-5.39 eV/atom